(1)
Below is a relaxed La2ErTm crystal, with properties calculated at the PBE level.

The calculation puts the density of states at the Fermi level at 1.6276 states/eV per atom. The relative energy among the computed polymorphs comes out at 0.011 eV/atom. Its formation energy is 0.1 eV/f.u. As for the total energy: -4.70 eV per atom.

The space group is Cmmm (No. 65) and the conventional cell measures 7.416, 9.759 and 3.717 Å, with angles of 90.00, 90.00 and 90.00 degrees. The distinct sites, in fractional coordinates, are La at (0.250, 0.250, 0.000), Er at (0.000, 0.000, 0.500) and Tm at (0.000, 0.500, 0.500).


(2)
Below is a relaxed La2Er5Tm4 crystal, with properties calculated at the PBE level.

The calculation puts the density of states at the Fermi level at 2.0212 states/eV per atom. Its formation energy is 1.7 eV/f.u. As for the total energy: -4.44 eV per atom.

The space group is C2/m (No. 12) and the conventional cell measures 23.727, 3.420 and 8.723 Å, with angles of 90.00, 96.96 and 90.00 degrees. The distinct sites, in fractional coordinates, are La at (0.093, 0.000, 0.251), Er at (0.000, 0.500, 0.500), Er at (0.141, 0.000, 0.628), Er at (0.235, 0.000, 0.325), Tm at (0.046, 0.000, 0.863) and Tm at (0.179, 0.500, 0.975).


(3)
Below is a relaxed LaEr2Tm crystal, with properties calculated at the PBE level.

The calculation puts the density of states at the Fermi level at 1.5980 states/eV per atom. The relative energy among the computed polymorphs comes out at 0.109 eV/atom. Its formation energy is 0.5 eV/f.u. As for the total energy: -4.51 eV per atom.

The space group is Fm-3m (No. 225) and the conventional cell measures 8.044, 8.044 and 8.044 Å, with angles of 90.00, 90.00 and 90.00 degrees. The distinct sites, in fractional coordinates, are La at (0.000, 0.000, 0.000), Er at (0.250, 0.250, 0.250) and Tm at (0.000, 0.000, 0.500).


(4)
Below is a relaxed La4Er8Tm crystal, with properties calculated at the PBE level.

The calculation puts the density of states at the Fermi level at 1.8304 states/eV per atom. Its formation energy is 7.2 eV/f.u. As for the total energy: -4.12 eV per atom.

The space group is R-3m (No. 166, hexagonal axes) and the conventional cell measures 11.0233, 11.0233 and 13.4228 Å, with angles of 90.00, 90.00 and 120.00 degrees. The distinct sites, in fractional coordinates, are La at (0.0000, 0.0000, 0.0000), La at (0.0000, 0.5000, 0.0000), Er at (0.0000, 0.0000, 0.2401), Er at (0.0124, 0.5062, 0.7458) and Tm at (0.0000, 0.0000, 0.5000).


(5)
Below is a relaxed La7ErTm2 crystal, with properties calculated at the PBE level.

The calculation puts the density of states at the Fermi level at 1.7677 states/eV per atom. Its formation energy is 6.0 eV/f.u. As for the total energy: -4.20 eV per atom.

The space group is Cmmm (No. 65) and the conventional cell measures 8.998, 16.241 and 5.816 Å, with angles of 90.00, 90.00 and 90.00 degrees. The distinct sites, in fractional coordinates, are La at (0.000, 0.000, 0.000), La at (0.000, 0.266, 0.500), La at (0.182, 0.386, 0.000), Er at (0.000, 0.500, 0.500) and Tm at (0.000, 0.205, 0.000).


(6)
Below is a relaxed La4Er3Tm4 crystal, with properties calculated at the PBE level.

The calculation puts the density of states at the Fermi level at 1.5776 states/eV per atom. The relative energy among the computed polymorphs comes out at 0.000 eV/atom. Its formation energy is 0.6 eV/f.u. As for the total energy: -4.61 eV per atom.

The space group is P-1 (No. 2) and the conventional cell measures 3.597, 5.623 and 18.353 Å, with angles of 81.20, 84.46 and 90.00 degrees. The distinct sites, in fractional coordinates, are La at (0.054, 0.053, 0.395), La at (0.177, 0.677, 0.146), Er at (0.353, 0.853, 0.793), Er at (0.500, 0.500, 0.500), Tm at (0.235, 0.235, 0.031) and Tm at (0.406, 0.407, 0.685).


(7)
Below is a relaxed La3Er2Tm5 crystal, with properties calculated at the PBE level.

The calculation puts the density of states at the Fermi level at 1.6523 states/eV per atom. Its formation energy is 2.0 eV/f.u. As for the total energy: -4.43 eV per atom.

The space group is C2/c (No. 15) and the conventional cell measures 10.590, 16.229 and 9.311 Å, with angles of 90.00, 124.50 and 90.00 degrees. The distinct sites, in fractional coordinates, are La at (0.000, 0.237, 0.250), La at (0.142, 0.126, 0.044), Er at (0.151, 0.386, 0.546), Tm at (0.000, 0.026, 0.250), Tm at (0.000, 0.275, 0.750), Tm at (0.000, 0.470, 0.750) and Tm at (0.237, 0.391, 0.228).


(8)
Below is a relaxed La6Er2Tm crystal, with properties calculated at the PBE level.

The calculation puts the density of states at the Fermi level at 1.4656 states/eV per atom. Its formation energy is 1.1 eV/f.u. As for the total energy: -4.68 eV per atom.

The space group is Cmmm (No. 65) and the conventional cell measures 9.466, 17.820 and 3.693 Å, with angles of 90.00, 90.00 and 90.00 degrees. The distinct sites, in fractional coordinates, are La at (0.172, 0.166, 0.000), La at (0.180, 0.000, 0.500), Er at (0.000, 0.329, 0.500) and Tm at (0.000, 0.500, 0.000).


(9)
Below is a relaxed La2ErTm2 crystal, with properties calculated at the PBE level.

The calculation puts the density of states at the Fermi level at 1.5889 states/eV per atom. The relative energy among the computed polymorphs comes out at 0.000 eV/atom. Its formation energy is 0.1 eV/f.u. As for the total energy: -4.65 eV per atom.

The space group is C2/c (No. 15) and the conventional cell measures 15.829, 6.362 and 6.798 Å, with angles of 90.00, 103.79 and 90.00 degrees. The distinct sites, in fractional coordinates, are La at (0.199, 0.087, 0.151), Er at (0.000, 0.085, 0.750) and Tm at (0.095, 0.417, 0.450).


(10)
Below is a relaxed La3Er4Tm5 crystal, with properties calculated at the PBE level.

The calculation puts the density of states at the Fermi level at 1.4432 states/eV per atom. Its formation energy is 3.4 eV/f.u. As for the total energy: -4.33 eV per atom.

The space group is C2/m (No. 12) and the conventional cell measures 17.665, 5.657 and 8.591 Å, with angles of 90.00, 113.94 and 90.00 degrees. The distinct sites, in fractional coordinates, are La at (0.000, 0.000, 0.000), La at (0.181, 0.500, 0.235), Er at (0.048, 0.500, 0.699), Er at (0.221, 0.500, 0.649), Tm at (0.000, 0.500, 0.000), Tm at (0.090, 0.000, 0.449) and Tm at (0.166, 0.000, 0.899).


(11)
Below is a relaxed LaEr5Tm4 crystal, with properties calculated at the PBE level.

The calculation puts the density of states at the Fermi level at 1.4321 states/eV per atom. The relative energy among the computed polymorphs comes out at 0.000 eV/atom. Its formation energy is 0.3 eV/f.u. As for the total energy: -4.53 eV per atom.

The space group is P-1 (No. 2) and the conventional cell measures 3.533, 9.330 and 9.935 Å, with angles of 105.47, 90.05 and 100.89 degrees. The distinct sites, in fractional coordinates, are La at (0.000, 0.000, 0.000), Er at (0.000, 0.000, 0.500), Er at (0.199, 0.399, 0.599), Er at (0.201, 0.402, 0.101), Tm at (0.398, 0.796, 0.203) and Tm at (0.399, 0.797, 0.696).


(12)
Below is a relaxed LaEr7Tm5 crystal, with properties calculated at the PBE level.

The calculation puts the density of states at the Fermi level at 2.0999 states/eV per atom. Its formation energy is 3.3 eV/f.u. As for the total energy: -4.30 eV per atom.

The space group is Imm2 (No. 44) and the conventional cell measures 6.620, 11.078 and 11.467 Å, with angles of 90.00, 90.00 and 90.00 degrees. The distinct sites, in fractional coordinates, are La at (0.000, 0.000, 0.000), Er at (0.000, 0.000, 0.391), Er at (0.000, 0.000, 0.700), Er at (0.000, 0.328, 0.950), Er at (0.000, 0.330, 0.449), Er at (0.000, 0.500, 0.707), Tm at (0.000, 0.500, 0.196) and Tm at (0.237, 0.232, 0.200).